Record 1
Li2Ca2Ag15 | PBE-GGA | optimized geometry

POSCAR file:
```
Li2Ca2Ag15
1.0
-4.784 -0.010 -5.550
4.774 -0.941 -5.478
-0.701 -7.255 -0.747
Ag Li Ca
15 2 2
direct
0.000 0.695 0.305
0.844 0.346 0.346
0.654 0.156 0.654
0.695 0.000 0.305
0.156 0.654 0.654
0.695 0.305 0.000
0.346 0.346 0.844
0.346 0.844 0.346
0.000 0.305 0.695
0.305 0.000 0.695
0.305 0.695 0.000
0.654 0.654 0.156
0.000 0.000 0.500
0.000 0.500 0.000
0.500 0.000 0.000
0.904 0.904 0.904
0.096 0.096 0.096
0.346 0.346 0.346
0.654 0.654 0.654
```

## Properties
Total DFT energy (no corrections), eV/atom: -2.792
Space group: R-3m (166)
Volume, Å³ per cell: 382.56
Energy of formation from the pure elements, meV/atom: -129
Total magnetic moment, μB/cell: 0.00



Record 2
Li2Ca3Ag3 | PBE-GGA | optimized geometry

POSCAR file:
```
Li2Ca3Ag3
1.0
-0.996 -3.511 -0.844
2.991 0.156 -4.178
6.792 -1.840 7.956
Li Ca Ag
2 3 3
direct
0.265 0.765 0.529
0.735 0.235 0.471
0.500 0.000 0.000
0.373 0.373 0.747
0.627 0.627 0.253
0.135 0.135 0.270
0.865 0.865 0.730
0.000 0.500 0.000
```

## Properties
Total DFT energy (no corrections), eV/atom: -2.518
Space group: Immm (71)
Volume, Å³ per cell: 195.11
Energy of formation from the pure elements, meV/atom: -220
Total magnetic moment, μB/cell: 0.00



Record 3
Li5Ca2Ag4 | PBE-GGA | optimized geometry

POSCAR file:
```
Li5Ca2Ag4
1.0
-3.265 1.713 -4.038
-2.386 -1.683 4.624
3.199 8.215 2.896
Ag Li Ca
4 5 2
direct
0.469 0.787 0.256
0.213 0.531 0.744
0.787 0.469 0.256
0.531 0.213 0.744
0.500 0.500 0.000
0.250 0.750 0.500
0.000 0.500 0.000
0.500 0.000 0.000
0.750 0.250 0.500
0.133 0.133 0.267
0.867 0.867 0.733
```

## Properties
Total DFT energy (no corrections), eV/atom: -2.440
Space group: Fmmm (69)
Volume, Å³ per cell: 234.52
Energy of formation from the pure elements, meV/atom: -169
Energy above the most stable polymorph in this dataset, meV per atom: 10
Total magnetic moment, μB/cell: 0.00



Record 4
Li2CaAg | PBE-GGA | optimized geometry

POSCAR file:
```
Li2CaAg
1.0
-3.336 -1.213 -0.858
1.489 -2.874 -1.726
-0.185 -3.496 5.663
Li Ag Ca
2 1 1
direct
0.000 0.000 0.438
0.000 0.000 0.062
0.500 0.500 0.250
0.500 0.500 0.750
```

## Properties
Total DFT energy (no corrections), eV/atom: -2.246
Space group: Pmmm (47)
Volume, Å³ per cell: 89.19
Energy of formation from the pure elements, meV/atom: -76
Energy above the most stable polymorph in this dataset, meV per atom: 96
Total magnetic moment, μB/cell: 0.00



Record 5
Li2Ca6Ag | PBE-GGA | optimized geometry

POSCAR file:
```
Li2Ca6Ag
1.0
6.536 0.000 0.534
0.000 9.266 0.000
-0.050 0.000 10.278
Ag Ca Li
2 12 4
direct
0.000 0.000 0.500
0.500 0.500 0.000
0.116 0.034 0.776
0.398 0.825 0.441
0.384 0.534 0.724
0.884 0.966 0.224
0.394 0.821 0.051
0.106 0.321 0.449
0.602 0.175 0.559
0.606 0.179 0.949
0.898 0.675 0.941
0.894 0.679 0.551
0.102 0.325 0.059
0.616 0.466 0.276
0.384 0.112 0.256
0.616 0.888 0.744
0.116 0.612 0.244
0.884 0.388 0.756
```

## Properties
Total DFT energy (no corrections), eV/atom: -2.098
Space group: P2_1/c (14)
Volume, Å³ per cell: 622.68
Energy of formation from the pure elements, meV/atom: -21
Energy above the most stable polymorph in this dataset, meV per atom: 40
Total magnetic moment, μB/cell: 0.00



Record 6
Li4CaAg5 | PBE-GGA | optimized geometry

POSCAR file:
```
Li4CaAg5
1.0
-1.164 2.605 1.730
0.911 -1.484 2.846
14.409 7.059 -0.932
Li Ag Ca
4 5 1
direct
0.000 0.000 0.407
0.000 0.000 0.593
0.000 0.000 0.778
0.000 0.000 0.222
0.500 0.500 0.316
0.500 0.500 0.868
0.500 0.500 0.500
0.500 0.500 0.132
0.500 0.500 0.684
0.000 0.000 0.000
```

## Properties
Total DFT energy (no corrections), eV/atom: -2.606
Space group: P4/mmm (123)
Volume, Å³ per cell: 178.93
Energy of formation from the pure elements, meV/atom: -215
Total magnetic moment, μB/cell: 0.00



Repeat the second record exactly.
Li2Ca3Ag3 | PBE-GGA | optimized geometry

POSCAR file:
```
Li2Ca3Ag3
1.0
-0.996 -3.511 -0.844
2.991 0.156 -4.178
6.792 -1.840 7.956
Li Ca Ag
2 3 3
direct
0.265 0.765 0.529
0.735 0.235 0.471
0.500 0.000 0.000
0.373 0.373 0.747
0.627 0.627 0.253
0.135 0.135 0.270
0.865 0.865 0.730
0.000 0.500 0.000
```

## Properties
Total DFT energy (no corrections), eV/atom: -2.518
Space group: Immm (71)
Volume, Å³ per cell: 195.11
Energy of formation from the pure elements, meV/atom: -220
Total magnetic moment, μB/cell: 0.00



Question: Look up the total DFT energy (no corrections) of the fifth one.
Answer: -2.098 eV/atom